Version P
The following is a DFT calculation (PBE-GGA) of an optimized crystal structure of Tb4Se3S.

Properties
* M_tot: 0.00 Bohr magnetons per cell

Cell lengths 5.7378, 5.7378, 5.7378 Å; angles 90.00, 90.00, 90.00 degrees
Closest atoms and distances in Å follow each position.
Atoms (fractional coordinates):
S 0.0000 0.0000 0.0000  6 Tb 2.87
Tb 0.5000 0.5000 0.5000  6 Se 2.87
Tb 0.0000 0.0000 0.5000  2 S 2.87, 4 Se 2.87
Tb 0.0000 0.5000 0.0000  2 S 2.87, 4 Se 2.87
Tb 0.5000 0.0000 0.0000  2 S 2.87, 4 Se 2.87
Se 0.5000 0.5000 0.0000  6 Tb 2.87
Se 0.5000 0.0000 0.5000  6 Tb 2.87
Se 0.0000 0.5000 0.5000  6 Tb 2.87

Version Q
The following is a DFT calculation (PBE-GGA) of an optimized crystal structure of Tb4Se3S.

Properties
* M_tot: 0.00 Bohr magnetons per cell

Cell lengths 4.0229, 7.0547, 7.0547 Å; angles 109.14, 90.00, 90.00 degrees
Closest atoms and distances in Å follow each position.
Atoms (fractional coordinates):
Se 0.0000 0.0000 0.5000  6 Tb 2.87-2.88
Se 0.0000 0.5000 0.0000  6 Tb 2.87-2.88
Se 0.5000 0.5000 0.5000  6 Tb 2.99-3.01
Tb 0.0000 0.2292 0.2292  2 S 2.75, 4 Se 2.88-2.99
Tb 0.5000 0.2378 0.7622  1 S 2.73, 5 Se 2.87-3.01
Tb 0.0000 0.7708 0.7708  2 S 2.75, 4 Se 2.88-2.99
Tb 0.5000 0.7622 0.2378  1 S 2.73, 5 Se 2.87-3.01
S 0.5000 0.0000 0.0000  6 Tb 2.73-2.75

Energies relative to the minimum, meV/atom: version P 33; version Q 0

Version P
The following is a DFT calculation (PBE-GGA) of an optimized crystal structure of Tb4SeS3.

Properties
* M_tot: 0.00 Bohr magnetons per cell

Cell lengths 5.6183, 5.6183, 5.6183 Å; angles 90.00, 90.00, 90.00 degrees
Closest atoms and distances in Å follow each position.
Atoms (fractional coordinates):
Tb 0.0000 0.5000 0.0000  4 S 2.81, 2 Se 2.81
Tb 0.5000 0.5000 0.5000  6 S 2.81
Tb 0.0000 0.0000 0.5000  4 S 2.81, 2 Se 2.81
Tb 0.5000 0.0000 0.0000  4 S 2.81, 2 Se 2.81
S 0.0000 0.5000 0.5000  6 Tb 2.81
S 0.5000 0.5000 0.0000  6 Tb 2.81
S 0.5000 0.0000 0.5000  6 Tb 2.81
Se 0.0000 0.0000 0.0000  6 Tb 2.81

Version Q
The following is a DFT calculation (PBE-GGA) of an optimized crystal structure of Tb4SeS3.

Properties
* M_tot: 0.00 Bohr magnetons per cell

Cell lengths 3.9303, 3.9303, 26.5525 Å; angles 90.00, 90.00, 120.00 degrees
Closest atoms and distances in Å follow each position.
Atoms (fractional coordinates):
Tb 0.6667 0.3333 0.9369  6 S 2.74-2.82
Tb 0.6667 0.3333 0.5631  6 S 2.74-2.82
Tb 0.0000 0.0000 0.3216  3 S 2.74, 3 Se 2.96
Tb 0.3333 0.6667 0.0631  6 S 2.74-2.82
Tb 0.3333 0.6667 0.4369  6 S 2.74-2.82
Tb 0.0000 0.0000 0.1784  3 S 2.74, 3 Se 2.96
Tb 0.0000 0.0000 0.8216  3 S 2.74, 3 Se 2.96
Tb 0.0000 0.0000 0.6784  3 S 2.74, 3 Se 2.96
S 0.6667 0.3333 0.3791  6 Tb 2.74
S 0.0000 0.0000 0.5000  6 Tb 2.82
S 0.3333 0.6667 0.8791  6 Tb 2.74
S 0.6667 0.3333 0.1209  6 Tb 2.74
S 0.0000 0.0000 0.0000  6 Tb 2.82
S 0.3333 0.6667 0.6209  6 Tb 2.74
Se 0.6667 0.3333 0.7500  6 Tb 2.96
Se 0.3333 0.6667 0.2500  6 Tb 2.96

Energies relative to the minimum, meV/atom: version P 39; version Q 0